Crystalline LiCo2Ni5 at its relaxed geometry. Source: Alexandria via LeMat-Bulk, functional PBE.

The total magnetic moment is 0.828 μB per atom. The value obtained for the total DFT energy (no corrections) is -5.63 eV/atom.

It has space group Fmm2 (No. 42), with a = 4.974 Å, b = 8.116 Å, c = 8.640 Å, α = 90.00°, β = 90.00° and γ = 90.00°. The inequivalent atoms are Li at (0.000, 0.000, 0.000), Co at (0.000, 0.244, 0.329), Ni at (0.000, 0.000, 0.498), Ni at (0.247, 0.000, 0.749) and Ni at (0.250, 0.250, 0.080).

***

Crystalline Li2Co2Ni15 at its relaxed geometry. Source: Alexandria via LeMat-Bulk, functional PBE.

The total magnetic moment is 0.666 μB per atom. The value obtained for the total DFT energy (no corrections) is -5.33 eV/atom.

It has space group R-3m (No. 166, hexagonal axes), with a = 8.0768 Å, b = 8.0768 Å, c = 12.1193 Å, α = 90.00°, β = 90.00° and γ = 120.00°. The inequivalent atoms are Li at (0.0000, 0.0000, 0.0996), Co at (0.0000, 0.0000, 0.3957), Ni at (0.0000, 0.3372, 0.0000), Ni at (0.0000, 0.5000, 0.5000) and Ni at (0.0074, 0.5037, 0.1676).

***

Crystalline LiCo3Ni at its relaxed geometry. Source: Alexandria via LeMat-Bulk, functional PBE.

The distance to the lowest polymorph of the same formula is 0.0 kJ per mole of atoms. The total magnetic moment is 1.281 μB per atom. The value obtained for the total DFT energy (no corrections) is -4.84 eV/atom.

It has space group Pm-3m (No. 221), with a = 4.326 Å, b = 4.326 Å, c = 4.326 Å, α = 90.00°, β = 90.00° and γ = 90.00°. The inequivalent atoms are Li at (0.000, 0.000, 0.000), Co at (0.000, 0.500, 0.500) and Ni at (0.500, 0.500, 0.500).

***

Crystalline LiCo4Ni at its relaxed geometry. Source: Alexandria via LeMat-Bulk, functional PBE.

The total magnetic moment is 1.285 μB per atom. The value obtained for the total DFT energy (no corrections) is -5.81 eV/atom.

It has space group F-43m (No. 216), with a = 6.611 Å, b = 6.611 Å, c = 6.611 Å, α = 90.00°, β = 90.00° and γ = 90.00°. The inequivalent atoms are Li at (0.000, 0.000, 0.000), Co at (0.125, 0.125, 0.375) and Ni at (0.250, 0.250, 0.750).

***

Crystalline LiCoNi3 at its relaxed geometry. Source: Alexandria via LeMat-Bulk, functional PBE.

The distance to the lowest polymorph of the same formula is 72.4 kJ per mole of atoms. The total magnetic moment is 0.791 μB per atom. The value obtained for the total DFT energy (no corrections) is -4.49 eV/atom.

It has space group Pm-3m (No. 221), with a = 4.307 Å, b = 4.307 Å, c = 4.307 Å, α = 90.00°, β = 90.00° and γ = 90.00°. The inequivalent atoms are Li at (0.000, 0.000, 0.000), Co at (0.500, 0.500, 0.500) and Ni at (0.000, 0.500, 0.500).

***

Crystalline LiCoNi5 at its relaxed geometry. Source: Alexandria via LeMat-Bulk, functional PBE.

The total magnetic moment is 0.685 μB per atom. The value obtained for the total DFT energy (no corrections) is -5.23 eV/atom.

It has space group C2/c (No. 15), with a = 8.079 Å, b = 9.022 Å, c = 4.892 Å, α = 90.00°, β = 107.26° and γ = 90.00°. The inequivalent atoms are Li at (0.000, 0.000, 0.000), Co at (0.000, 0.488, 0.250), Ni at (0.000, 0.249, 0.750), Ni at (0.228, 0.368, 0.112) and Ni at (0.234, 0.364, 0.613).